Entry 1:
Entry from the Alexandria database: NdDyZn2 after structural relaxation (PBE-GGA).

## Properties
**Total magnetic moment**: 0.0 μB/f.u.
**Formation energy from the elements**: -0.3210 eV per atom

Cell lengths 3.610, 3.610, 7.315 Å; angles 90.00, 90.00, 90.00 degrees
Fractional coordinates of all 4 atoms:
Nd  0.000  0.000  0.000
Dy  0.000  0.000  0.500
Zn  0.500  0.500  0.268
Zn  0.500  0.500  0.732

Entry 2:
Entry from the Alexandria database: ThSi2Au3 after structural relaxation (PBE-GGA).

## Properties
**Total magnetic moment**: 0.0 μB/f.u.
**Formation energy (no corrections)**: -0.47 eV per atom

Cell lengths 8.222, 8.222, 7.532 Å; angles 114.77, 114.77, 30.94 degrees
Fractional coordinates of all 12 atoms:
Th  0.148  0.148  0.074
Th  0.852  0.852  0.926
Si  0.192  0.192  0.701
Si  0.488  0.488  0.835
Si  0.512  0.512  0.165
Si  0.808  0.808  0.299
Au  0.044  0.044  0.363
Au  0.317  0.317  0.585
Au  0.374  0.374  0.252
Au  0.626  0.626  0.748
Au  0.683  0.683  0.415
Au  0.956  0.956  0.637

Entry 3:
Entry from the Alexandria database: BaLi2TbAs2 after structural relaxation (PBE-GGA).

## Properties
**Total magnetic moment**: 0.5 μB/f.u.
**Formation energy from the elements**: -0.9706 eV per atom

Cell lengths 4.373, 4.373, 8.469 Å; angles 90.00, 90.00, 120.00 degrees
Fractional coordinates of all 6 atoms:
Ba  0.000  0.000  0.000
Li  0.333  0.667  0.721
Li  0.667  0.333  0.279
Tb  0.000  0.000  0.500
As  0.333  0.667  0.296
As  0.667  0.333  0.704

| no. | DOS(E_F) (states/eV per atom) |
| --- | --- |
| 1 | 1.131 |
| 2 | 0.273 |
| 3 | 0.432 |